# 1
First-principles (PBE-GGA) data for an optimized crystal structure of Rb2HClF6, as listed in Alexandria.

Lattice parameters (Å, degrees): 6.3395 6.3409 6.1344 121.12 121.10 89.99
With the nearest neighbours (Å) after each atom.
Positions (direct):
Rb: 0.2500 0.7502 0.4997  12 F 3.09-3.31
Rb: 0.7497 0.2505 0.4998  12 F 3.09-3.31
F: 0.2042 0.7961 0.9997  1 Cl 1.83
F: 0.7959 0.7964 0.0003  1 Cl 1.83
F: 0.3612 0.3617 0.7220  1 H 1.16
F: 0.7956 0.2047 0.9998  1 Cl 1.83
F: 0.2039 0.2044 0.9992  1 Cl 1.83
F: 0.6387 0.6392 0.2777  1 H 1.16
H: 0.5000 0.5004 0.9999  2 F 1.16
Cl: 0.9999 0.0004 0.9998  4 F 1.83

## Properties
energy	-3.5872	eV per atom
total magnetization	0.00	μB/f.u.
ΔE to the lowest computed polymorph	0	meV/atom
SG	I4/mmm

---

# 2
First-principles (PBE-GGA) data for an optimized crystal structure of HfGaW, as listed in Alexandria.

Lattice parameters (Å, degrees): 4.1292 3.4790 7.4032 90.00 89.99 90.00
With the nearest neighbours (Å) after each atom.
Positions (direct):
W: 0.2500 0.7500 0.0137  4 Ga 2.69-2.77, 4 W 2.71
W: 0.7500 0.2500 0.9863  4 Ga 2.69-2.77, 4 W 2.71
Ga: 0.7499 0.7500 0.2629  4 W 2.69-2.77, 5 Hf 2.79-2.81
Ga: 0.2501 0.2500 0.7371  4 W 2.69-2.77, 5 Hf 2.79-2.81
Hf: 0.2498 0.2500 0.3575  5 Ga 2.79-2.81, 2 W 3.08
Hf: 0.7502 0.7500 0.6425  5 Ga 2.79-2.81, 2 W 3.08

## Properties
formation energy from the elements	-0.281	eV per atom
energy	-8.9257	eV per atom
total magnetization	0.00	μB/f.u.
SG	Pmmn

---

# 3
First-principles (PBE-GGA) data for an optimized crystal structure of TaNb8W2, as listed in Alexandria.

Lattice parameters (Å, degrees): 5.1722 7.7984 7.7984 40.88 85.38 85.38
With the nearest neighbours (Å) after each atom.
Positions (direct):
Nb: 0.6074 0.1511 0.6630  5 Nb 2.66-2.95, 2 W 2.75-2.93, 1 Ta 2.86
Nb: 0.1076 0.4158 0.4158  1 W 2.57, 1 Nb 2.61
Nb: 0.8838 0.2116 0.2116  2 W 2.67-2.68
Nb: 0.3926 0.3370 0.8489  5 Nb 2.66-2.95, 2 W 2.75-2.93, 1 Ta 2.86
Nb: 0.8924 0.5842 0.5842  1 W 2.57, 1 Nb 2.61
Nb: 0.6074 0.6630 0.1511  5 Nb 2.66-2.95, 2 W 2.75-2.93, 1 Ta 2.86
Nb: 0.3926 0.8489 0.3370  5 Nb 2.66-2.95, 2 W 2.75-2.93, 1 Ta 2.86
Nb: 0.1162 0.7884 0.7884  2 W 2.67-2.68
W: 0.6283 0.7416 0.7416  5 Nb 2.57-2.75
W: 0.3717 0.2584 0.2584  5 Nb 2.57-2.75
Ta: 0.0000 0.0000 0.0000  10 Nb 2.86-3.10

## Properties
formation energy from the elements	0.240	eV per atom
energy	-10.5157	eV per atom
total magnetization	0.00	μB/f.u.
SG	C2/m